# 1
## ZrVAs (GGA-PBE)

Data for a relaxed ZrVAs crystal.

a b c (Å): 3.5901 6.9779 12.0376
angles (deg): 90.09 90.00 90.00
With the nearest neighbours (Å) after each atom.
Sites, in units of the cell vectors:
Zr 0.7500 0.5423 0.3816  5 As 2.77-2.91, 2 V 3.04
Zr 0.2500 0.9560 0.7204  5 As 2.77-2.82, 6 V 3.03-3.06
Zr 0.7500 0.0440 0.2796  5 As 2.77-2.82, 6 V 3.03-3.06
Zr 0.7500 0.6463 0.0893  5 As 2.74-2.79, 4 V 2.98-3.03
Zr 0.2500 0.4577 0.6184  5 As 2.77-2.91, 2 V 3.04
Zr 0.2500 0.3537 0.9107  5 As 2.74-2.79, 4 V 2.98-3.03
V 0.2500 0.9950 0.0788  4 As 2.52-2.71, 2 V 2.61
V 0.2500 0.8780 0.4612  4 As 2.52-2.68, 2 V 2.64
V 0.7500 0.6305 0.7959  4 As 2.50-2.69
V 0.7500 0.1220 0.5388  4 As 2.52-2.68, 2 V 2.64
V 0.2500 0.3695 0.2041  4 As 2.50-2.69
V 0.7500 0.0050 0.9212  4 As 2.52-2.71, 2 V 2.61
As 0.2500 0.7508 0.9222  5 V 2.50-2.54, 3 Zr 2.77-2.79
As 0.7500 0.2542 0.7483  3 V 2.68-2.71, 6 Zr 2.74-2.77
As 0.7500 0.7549 0.5894  4 V 2.52-2.63, 4 Zr 2.77
As 0.7500 0.2492 0.0778  5 V 2.50-2.54, 3 Zr 2.77-2.79
As 0.2500 0.2451 0.4106  4 V 2.52-2.63, 4 Zr 2.77
As 0.2500 0.7458 0.2517  3 V 2.68-2.71, 6 Zr 2.74-2.77

Output
Spin magnetization = 0.00 μB/cell
Crystal system = monoclinic
Formation energy = -0.83 eV/atom

***

# 2
## Cs3ScTa (GGA-PBE)

Data for a relaxed Cs3ScTa crystal.

a b c (Å): 6.9453 6.9453 6.9453
angles (deg): 90.00 90.00 90.00
With the nearest neighbours (Å) after each atom.
Sites, in units of the cell vectors:
Cs 0.0000 0.5000 0.0000  2 Sc 3.47
Cs 0.0000 0.0000 0.5000  2 Sc 3.47
Cs 0.5000 0.0000 0.0000  2 Sc 3.47
Sc 0.0000 0.0000 0.0000  6 Cs 3.47
Ta 0.5000 0.5000 0.5000  12 Cs 4.91

Output
Spin magnetization = 1.54 μB/cell
Crystal system = cubic
Formation energy = 2.00 eV/atom

***

# 3
## CsAl2GaPt (GGA-PBE)

Data for a relaxed CsAl2GaPt crystal.

a b c (Å): 5.1470 5.0235 5.1470
angles (deg): 90.00 90.00 90.00
With the nearest neighbours (Å) after each atom.
Sites, in units of the cell vectors:
Cs 0.5000 0.5000 0.5000  8 Al 3.60, 4 Pt 3.64
Ga 0.0000 0.0000 0.0000  2 Pt 2.51, 4 Al 2.57
Pt 0.0000 0.5000 0.0000  2 Ga 2.51
Al 0.0000 0.0000 0.5000  2 Ga 2.57
Al 0.5000 0.0000 0.0000  2 Ga 2.57

Output
Spin magnetization = 0.00 μB/cell
Crystal system = tetragonal
Formation energy = 0.36 eV/atom

***

# 4
## ZnFeRu2 (GGA-PBE)

Data for a relaxed ZnFeRu2 crystal.

a b c (Å): 4.2599 4.2599 4.2599
angles (deg): 60.00 60.00 60.00
With the nearest neighbours (Å) after each atom.
Sites, in units of the cell vectors:
Fe 0.5000 0.5000 0.5000  4 Ru 2.61, 4 Zn 2.61
Ru 0.0000 0.0000 0.0000  4 Zn 2.61, 4 Ru 2.61
Ru 0.2500 0.2500 0.2500  4 Fe 2.61, 4 Ru 2.61
Zn 0.7500 0.7500 0.7500  4 Fe 2.61, 4 Ru 2.61

Output
Spin magnetization = 3.19 μB/cell
Crystal system = cubic
Formation energy = 0.24 eV/atom

***

# 5
## GaOs2Se2 (GGA-PBE)

Data for a relaxed GaOs2Se2 crystal.

a b c (Å): 7.4880 7.4880 3.0036
angles (deg): 90.00 90.00 90.00
With the nearest neighbours (Å) after each atom.
Sites, in units of the cell vectors:
Os 0.3620 0.8620 0.0000  6 Se 2.63-2.70, 2 Ga 2.90, 1 Os 2.92
Os 0.8620 0.6380 0.0000  6 Se 2.63-2.70, 2 Ga 2.90, 1 Os 2.92
Os 0.6380 0.1380 0.0000  6 Se 2.63-2.70, 2 Ga 2.90, 1 Os 2.92
Os 0.1380 0.3620 0.0000  6 Se 2.63-2.70, 2 Ga 2.90, 1 Os 2.92
Ga 0.0000 0.0000 0.0000  4 Os 2.90, 2 Ga 3.00, 8 Se 3.22
Ga 0.5000 0.5000 0.0000  4 Os 2.90, 2 Ga 3.00, 8 Se 3.22
Se 0.1507 0.6507 0.5000  6 Os 2.63-2.70
Se 0.6507 0.8493 0.5000  6 Os 2.63-2.70
Se 0.8493 0.3493 0.5000  6 Os 2.63-2.70
Se 0.3493 0.1507 0.5000  6 Os 2.63-2.70

Output
Spin magnetization = 0.00 μB/cell
Crystal system = tetragonal
Formation energy (no corrections) = 0.648 eV per atom

***

# 6
## PPd2Au2 (GGA-PBE)

Data for a relaxed PPd2Au2 crystal.

a b c (Å): 6.1783 6.1783 4.5111
angles (deg): 90.00 90.00 90.00
With the nearest neighbours (Å) after each atom.
Sites, in units of the cell vectors:
P 0.0000 0.0000 0.0000  4 Pd 2.32
P 0.5000 0.5000 0.0000  4 Pd 2.32
Au 0.1578 0.6578 0.5000  1 Au 2.76, 6 Pd 2.76-2.99
Au 0.6578 0.8422 0.5000  1 Au 2.76, 6 Pd 2.76-2.99
Au 0.8422 0.3422 0.5000  1 Au 2.76, 6 Pd 2.76-2.99
Au 0.3422 0.1578 0.5000  1 Au 2.76, 6 Pd 2.76-2.99
Pd 0.3397 0.8397 0.0000  2 P 2.32
Pd 0.8397 0.6603 0.0000  2 P 2.32
Pd 0.6603 0.1603 0.0000  2 P 2.32
Pd 0.1603 0.3397 0.0000  2 P 2.32

Output
Spin magnetization = 0.00 μB/cell
Crystal system = tetragonal
Formation energy = -0.04 eV/atom